1.
A plane-wave DFT calculation with PBE was carried out for a relaxed structure of Y2TlCl.

Summary:
offset from the most stable computed form: 0.078 eV per atom

abc: 3.7300 3.7420 7.8321
angles: 90.00 90.09 90.00
Last column: nearest neighbours and their distance in Å.
Space group P2/m (No. 10)
Unique sites:
Y (0.0006, 0.0000, 0.2421) [2 per cell]  2 Cl 2.75
Tl (0.5000, 0.5000, 0.0000) [1 per cell]  8 Y 3.25
Cl (0.0000, 0.5000, 0.5000) [1 per cell]  4 Y 2.75

---

2.
A plane-wave DFT calculation with PBE was carried out for a relaxed structure of KScMo2.

Summary:
formation enthalpy at 0 K: 438 kJ/mol of formula units
offset from the most stable computed form: 0.654 eV per atom

abc: 5.5286 10.5422 2.7215
angles: 90.00 90.00 90.00
Last column: nearest neighbours and their distance in Å.
Space group Cmmm (No. 65)
Unique sites:
K (0.0000, 0.0000, 0.0000) [2 per cell]  2 K 2.72, 2 Sc 2.76
Sc (0.0000, 0.5000, 0.0000) [2 per cell]  2 Sc 2.72, 2 K 2.76
Mo (0.2500, 0.2500, 0.5000) [4 per cell]  4 Mo 2.72-2.76

---

3.
A plane-wave DFT calculation with PBE was carried out for a relaxed structure of LaCrMo2.

Summary:
formation enthalpy at 0 K: 257 kJ/mol of formula units
offset from the most stable computed form: 0.253 eV per atom

abc: 3.1294 5.0061 9.2507
angles: 90.00 90.00 90.00
Last column: nearest neighbours and their distance in Å.
Space group Immm (No. 71)
Unique sites:
La (0.0000, 0.0000, 0.0000) [2 per cell]  4 Mo 2.93, 4 Cr 2.95, 2 La 3.13
Cr (0.0000, 0.0000, 0.5000) [2 per cell]  4 Mo 2.66, 4 La 2.95
Mo (0.0000, 0.5000, 0.2320) [4 per cell]  2 Cr 2.66, 2 La 2.93, 4 Mo 2.97

---

4.
A plane-wave DFT calculation with PBE was carried out for a relaxed structure of Er2Mn2GaRu5.

Summary:
formation enthalpy at 0 K: -111 kJ/mol of formula units

abc: 9.8831 9.8831 3.3083
angles: 90.00 90.00 90.00
Last column: nearest neighbours and their distance in Å.
Space group P4/mbm (No. 127)
Unique sites:
Er (0.1742, 0.3258, 0.0000) [4 per cell]  3 Mn 2.77-3.02, 6 Ru 2.94-3.08
Mn (0.1275, 0.6275, 0.0000) [4 per cell]  6 Ru 2.43-2.44
Ga (0.0000, 0.0000, 0.0000) [2 per cell]  8 Ru 2.67
Ru (0.0000, 0.5000, 0.5000) [2 per cell]  4 Mn 2.43
Ru (0.0638, 0.7979, 0.5000) [8 per cell]  2 Mn 2.44, 2 Ga 2.67

---

5.
A plane-wave DFT calculation with PBE was carried out for a relaxed structure of ScOF3.

Summary:
offset from the most stable computed form: 0.000 eV per atom

abc: 4.0600 6.5890 5.3633
angles: 90.00 105.23 90.00
Last column: nearest neighbours and their distance in Å.
Space group P2_1/m (No. 11)
Unique sites:
Sc (0.0235, 0.2500, 0.0839) [2 per cell]  6 F 2.03-2.10
O (0.2615, 0.2500, 0.5263) [2 per cell]  1 Sc 2.31, 4 F 2.51-2.53
F (0.0747, 0.5488, 0.2272) [4 per cell]  2 Sc 2.09-2.10
F (0.4611, 0.7500, 0.8780) [2 per cell]  2 Sc 2.03-2.05

---

6.
A plane-wave DFT calculation with PBE was carried out for a relaxed structure of HfTa2Ir2.

Summary:
formation enthalpy at 0 K: -176 kJ/mol of formula units
offset from the most stable computed form: 0.095 eV per atom

abc: 7.8240 7.8240 2.8949
angles: 90.00 90.00 90.00
Last column: nearest neighbours and their distance in Å.
Space group P4/mbm (No. 127)
Unique sites:
Hf (0.0000, 0.0000, 0.0000) [2 per cell]  2 Hf 2.89, 4 Ta 2.97
Ta (0.1520, 0.3480, 0.0000) [4 per cell]  6 Ir 2.68-2.74, 2 Ta 2.89, 2 Hf 2.97
Ir (0.1446, 0.6446, 0.5000) [4 per cell]  6 Ta 2.68-2.74, 2 Ir 2.89

---

7.
A plane-wave DFT calculation with PBE was carried out for a relaxed structure of Pm5PuSe8.

Summary:
total energy: -6.53 eV per atom

abc: 8.8879 8.8879 8.8487
angles: 90.00 90.00 90.00
Last column: nearest neighbours and their distance in Å.
Space group I-4 (No. 82)
Unique sites:
Pm (0.0000, 0.0000, 0.0000) [2 per cell]  8 Se 2.99-3.14
Pm (0.1252, 0.7498, 0.6218) [8 per cell]  8 Se 2.97-3.18
Pu (0.0000, 0.5000, 0.2500) [2 per cell]  8 Se 2.99-3.17
Se (0.0739, 0.8246, 0.2989) [8 per cell]  5 Pm 2.97-3.18, 1 Pu 2.99
Se (0.0751, 0.6758, 0.9478) [8 per cell]  5 Pm 2.99-3.15, 1 Pu 3.17

---

8.
A plane-wave DFT calculation with PBE was carried out for a relaxed structure of MgTi2S4.

Summary:
total energy: -6.18 eV per atom

abc: 10.3569 10.3569 10.3569
angles: 90.00 90.00 90.00
Last column: nearest neighbours and their distance in Å.
Space group Fd-3m (No. 227, origin choice 2)
Unique sites:
Mg (0.1250, 0.1250, 0.1250) [8 per cell]  4 S 2.41
Ti (0.0000, 0.0000, 0.5000) [16 per cell]  6 S 2.50
S (0.0093, 0.0093, 0.7407) [32 per cell]  1 Mg 2.41, 3 Ti 2.50